[1]
Compound: LiAs3
Source: Alexandria via LeMat-Bulk
Functional: PBE-GGA
Structure: relaxed

Summary:
As for the total energy: -16.27 eV for the cell shown. The polymorph energy (0 for the lowest one) comes out at 0 meV per atom.

Cell: 5.567 5.567 5.567 Å, 138.09 61.61 136.99°
Element x y z (fractional)
Li  0.000  0.000  0.000
As  0.434  0.703  0.730
As  0.500  0.000  0.500
As  0.973  0.703  0.270


[2]
Compound: LiAs3
Source: Alexandria via LeMat-Bulk
Functional: PBE-GGA
Structure: relaxed

Summary:
As for the total energy: -16.08 eV for the cell shown. The polymorph energy (0 for the lowest one) comes out at 47 meV per atom.

Cell: 3.484 5.086 4.539 Å, 90.00 90.00 90.00°
Element x y z (fractional)
Li  0.000  0.000  0.000
As  0.000  0.500  0.899
As  0.500  0.000  0.505
As  0.500  0.500  0.279


[3]
Compound: LiAs
Source: Alexandria via LeMat-Bulk
Functional: PBE-GGA
Structure: relaxed

Summary:
As for the total energy: -7.31 eV for the cell shown.

Cell: 3.002 3.002 4.244 Å, 90.00 90.00 120.00°
Element x y z (fractional)
Li  0.000  0.000  0.000
As  0.333  0.667  0.500


no.,formation enthalpy at 0 K (kJ per mole of atoms)
1,-9.8
2,-5.2
3,-36.2